Compound: TiMn3Nb
Source: the Alexandria database
Functional: PBE-GGA
Structure: relaxed

Unit cell a=4.2109 b=4.2109 c=4.2109 alpha=90.00 beta=90.00 gamma=90.00
Sites, in units of the cell vectors:
Mn: 0.5000 0.0000 0.0000
Mn: 0.0000 0.5000 0.0000
Nb: 0.5000 0.5000 0.5000
Ti: 0.0000 0.0000 0.0000
Mn: 0.0000 0.0000 0.5000

Calculated values
Energy relative to the lowest polymorph listed for this composition in kJ/mol of atoms: 0.0
DOS(E_F) in states/eV per cell: 6.14
M_tot in μB per atom: 0.000
Space group: Pm-3m, No. 221
Formation energy in kJ per mole of atoms: 104.9

---

Compound: TiMn4Nb3
Source: the Alexandria database
Functional: PBE-GGA
Structure: relaxed

Unit cell a=3.0502 b=3.0502 c=12.1693 alpha=90.00 beta=90.00 gamma=90.00
Sites, in units of the cell vectors:
Nb: 0.5000 0.5000 0.5000
Mn: 0.0000 0.0000 0.1228
Mn: 0.0000 0.0000 0.3743
Nb: 0.5000 0.5000 0.2455
Mn: 0.0000 0.0000 0.6257
Nb: 0.5000 0.5000 0.7545
Mn: 0.0000 0.0000 0.8772
Ti: 0.5000 0.5000 0.0000

Calculated values
DOS(E_F) in states/eV per cell: 5.54
M_tot in μB per atom: 0.000
Space group: P4/mmm, No. 123
Formation energy in kJ per mole of atoms: -15.9

---

Compound: TiMn2Nb
Source: the Alexandria database
Functional: PBE-GGA
Structure: relaxed

Unit cell a=6.6535 b=6.6535 c=5.3954 alpha=51.93 beta=51.93 gamma=90.00
Sites, in units of the cell vectors:
Mn: 0.8750 0.8714 0.7500
Nb: 0.0000 0.0000 0.0000
Mn: 0.6214 0.1250 0.2500
Mn: 0.3750 0.3786 0.7500
Ti: 0.5000 0.5000 0.0000
Ti: 0.2500 0.7500 0.5000
Nb: 0.7500 0.2500 0.5000
Mn: 0.1286 0.6250 0.2500

Calculated values
DOS(E_F) in states/eV per cell: 10.35
M_tot in μB per atom: 0.000
Space group: I-42d, No. 122
Formation energy in kJ per mole of atoms: 44.8

---

Compound: TiMn2Nb
Source: the Alexandria database
Functional: PBE-GGA
Structure: relaxed

Unit cell a=5.5779 b=5.5779 c=5.5779 alpha=58.08 beta=151.87 gamma=130.31
Sites, in units of the cell vectors:
Ti: 0.0000 0.0000 0.0000
Nb: 0.0000 0.5000 0.5000
Mn: 0.0000 0.7545 0.7545
Mn: 0.0000 0.2455 0.2455

Calculated values
DOS(E_F) in states/eV per cell: 4.50
M_tot in μB per atom: 0.871
Space group: Immm, No. 71
Formation energy in kJ per mole of atoms: 58.9

---

Compound: Ti2Mn3Nb
Source: the Alexandria database
Functional: PBE-GGA
Structure: relaxed

Unit cell a=3.0200 b=3.0200 c=9.0083 alpha=90.00 beta=90.00 gamma=90.00
Sites, in units of the cell vectors:
Mn: 0.0000 0.0000 0.6699
Mn: 0.0000 0.0000 0.0000
Mn: 0.0000 0.0000 0.3301
Ti: 0.5000 0.5000 0.8363
Ti: 0.5000 0.5000 0.1637
Nb: 0.5000 0.5000 0.5000

Calculated values
DOS(E_F) in states/eV per cell: 5.82
M_tot in μB per atom: 0.195
Space group: P4/mmm, No. 123
Formation energy in kJ per mole of atoms: -20.8

---

Compound: TiMnNb2
Source: the Alexandria database
Functional: PBE-GGA
Structure: relaxed

Unit cell a=7.0757 b=7.0757 c=5.6915 alpha=51.57 beta=51.57 gamma=90.00
Sites, in units of the cell vectors:
Nb: 0.6606 0.1250 0.2500
Nb: 0.8750 0.9106 0.7500
Mn: 0.7500 0.2500 0.5000
Ti: 0.2500 0.7500 0.5000
Ti: 0.5000 0.5000 0.0000
Nb: 0.3750 0.3394 0.7500
Nb: 0.0894 0.6250 0.2500
Mn: 0.0000 0.0000 0.0000

Calculated values
Energy relative to the lowest polymorph listed for this composition in kJ/mol of atoms: 45.4
DOS(E_F) in states/eV per cell: 6.52
M_tot in μB per atom: 0.000
Space group: I-42d, No. 122
Formation energy in kJ per mole of atoms: 38.7

---

Compound: TiMnNb2
Source: the Alexandria database
Functional: PBE-GGA
Structure: relaxed

Unit cell a=3.1053 b=3.1053 c=6.6321 alpha=90.00 beta=90.00 gamma=90.00
Sites, in units of the cell vectors:
Ti: 0.5000 0.5000 0.5000
Nb: 0.0000 0.0000 0.7711
Nb: 0.0000 0.0000 0.2289
Mn: 0.5000 0.5000 0.0000

Calculated values
Energy relative to the lowest polymorph listed for this composition in kJ/mol of atoms: 3.2
DOS(E_F) in states/eV per cell: 4.67
M_tot in μB per atom: 0.000
Space group: P4/mmm, No. 123
Formation energy in kJ per mole of atoms: -3.5

---

Compound: TiMnNb2
Source: the Alexandria database
Functional: PBE-GGA
Structure: relaxed

Unit cell a=4.4645 b=4.4645 c=4.4645 alpha=60.00 beta=60.00 gamma=60.00
Sites, in units of the cell vectors:
Mn: 0.5000 0.5000 0.5000
Ti: 0.0000 0.0000 0.0000
Nb: 0.7500 0.7500 0.7500
Nb: 0.2500 0.2500 0.2500

Calculated values
Energy relative to the lowest polymorph listed for this composition in kJ/mol of atoms: 7.6
DOS(E_F) in states/eV per cell: 5.56
M_tot in μB per atom: 0.000
Space group: Fm-3m, No. 225
Formation energy in kJ per mole of atoms: 0.8

---

Compound: Ti2Mn2Nb
Source: the Alexandria database
Functional: PBE-GGA
Structure: relaxed

Unit cell a=6.9258 b=6.9258 c=3.1055 alpha=90.00 beta=90.00 gamma=90.00
Sites, in units of the cell vectors:
Ti: 0.8466 0.3466 0.5000
Mn: 0.3560 0.8560 0.0000
Mn: 0.1440 0.3560 0.0000
Nb: 0.0000 0.0000 0.0000
Ti: 0.3466 0.1534 0.5000
Mn: 0.6440 0.1440 0.0000
Ti: 0.1534 0.6534 0.5000
Nb: 0.5000 0.5000 0.0000
Ti: 0.6534 0.8466 0.5000
Mn: 0.8560 0.6440 0.0000

Calculated values
Energy relative to the lowest polymorph listed for this composition in kJ/mol of atoms: 22.5
DOS(E_F) in states/eV per cell: 8.71
M_tot in μB per atom: 0.226
Space group: P4/mbm, No. 127
Formation energy in kJ per mole of atoms: 5.8

---

Compound: TiMnNb2
Source: the Alexandria database
Functional: PBE-GGA
Structure: relaxed

Unit cell a=4.3706 b=4.3706 c=7.3535 alpha=107.37 beta=107.37 gamma=89.96
Sites, in units of the cell vectors:
Nb: 0.1374 0.1374 0.7742
Ti: 0.6412 0.6412 0.7821
Mn: 0.2499 0.7501 0.0000
Ti: 0.3588 0.3588 0.2179
Nb: 0.5000 0.0000 0.5000
Nb: 0.8626 0.8626 0.2258
Nb: 0.0000 0.5000 0.5000
Mn: 0.7501 0.2499 0.0000

Calculated values
Energy relative to the lowest polymorph listed for this composition in kJ/mol of atoms: 0.0
DOS(E_F) in states/eV per cell: 6.73
M_tot in μB per atom: 0.000
Space group: C2/m, No. 12
Formation energy in kJ per mole of atoms: -6.7

---

Compound: TiMn2Nb
Source: the Alexandria database
Functional: PBE-GGA
Structure: relaxed

Unit cell a=3.0319 b=4.2752 c=4.2752 alpha=90.00 beta=90.00 gamma=90.00
Sites, in units of the cell vectors:
Mn: 0.0000 0.5000 0.0000
Ti: 0.5000 0.0000 0.0000
Nb: 0.5000 0.5000 0.5000
Mn: 0.0000 0.0000 0.5000

Calculated values
DOS(E_F) in states/eV per cell: 2.98
M_tot in μB per atom: 0.114
Space group: P4/mmm, No. 123
Formation energy in kJ per mole of atoms: -19.9

---

Compound: Ti4MnNb2
Source: the Alexandria database
Functional: PBE-GGA
Structure: relaxed

Unit cell a=3.0886 b=5.3740 c=7.3337 alpha=80.96 beta=89.98 gamma=106.73
Sites, in units of the cell vectors:
Ti: 0.3035 0.6065 0.1370
Nb: 0.5703 0.1407 0.2588
Ti: 0.1365 0.2738 0.5531
Nb: 0.4297 0.8593 0.7412
Ti: 0.8635 0.7262 0.4469
Ti: 0.6965 0.3935 0.8630
Mn: 0.0000 0.0000 0.0000

Calculated values
Energy relative to the lowest polymorph listed for this composition in kJ/mol of atoms: 0.0
DOS(E_F) in states/eV per cell: 10.51
M_tot in μB per atom: 0.000
Space group: C2/m, No. 12
Formation energy in kJ per mole of atoms: -3.1

---

Compound: TiMnNbV
Source: the Alexandria database
Functional: PBE-GGA
Structure: relaxed

Unit cell a=4.3629 b=4.3629 c=4.3629 alpha=60.00 beta=60.00 gamma=60.00
Sites, in units of the cell vectors:
Nb: 0.2500 0.2500 0.2500
Mn: 0.5000 0.5000 0.5000
V: 0.0000 0.0000 0.0000
Ti: 0.7500 0.7500 0.7500

Calculated values
DOS(E_F) in states/eV per cell: 5.76
M_tot in μB per atom: 0.294
Space group: F-43m, No. 216
Formation energy in kJ per mole of atoms: -4.3

---

Compound: TiMnNbW
Source: the Alexandria database
Functional: PBE-GGA
Structure: relaxed

Unit cell a=4.4281 b=4.4281 c=4.4281 alpha=60.00 beta=60.00 gamma=60.00
Sites, in units of the cell vectors:
Nb: 0.7500 0.7500 0.7500
W: 0.5000 0.5000 0.5000
Mn: 0.0000 0.0000 0.0000
Ti: 0.2500 0.2500 0.2500

Calculated values
DOS(E_F) in states/eV per cell: 4.69
M_tot in μB per atom: 0.000
Space group: F-43m, No. 216
Formation energy in kJ per mole of atoms: -3.7